No. 1
Material: Pm2Nd2Bi3
Method: DFT, PBE
State: relaxed

Computed properties:
formation energy from the elements	-0.83	eV/atom
relative energy among the computed polymorphs	0.0000	eV per atom

Lattice parameters (Å, degrees): 8.3671 8.3671 8.3671 109.47 109.47 109.47
With the nearest neighbours (Å) after each atom.
Atoms (fractional coordinates):
Pm  0.0000  0.8581  0.5000  6 Bi 3.22-3.46
Pm  0.5000  0.0000  0.8581  6 Bi 3.22-3.46
Pm  0.6419  0.6419  0.6419  6 Bi 3.22-3.46
Pm  0.8581  0.5000  0.0000  6 Bi 3.22-3.46
Nd  0.0000  0.3555  0.5000  6 Bi 3.23-3.48
Nd  0.1445  0.1445  0.1445  6 Bi 3.23-3.48
Nd  0.3555  0.5000  0.0000  6 Bi 3.23-3.48
Nd  0.5000  0.0000  0.3555  6 Bi 3.23-3.48
Bi  0.1232  0.7500  0.8732  4 Pm 3.22-3.46, 4 Nd 3.23-3.48
Bi  0.2500  0.6268  0.3768  4 Pm 3.22-3.46, 4 Nd 3.23-3.48
Bi  0.3768  0.2500  0.6268  4 Pm 3.22-3.46, 4 Nd 3.23-3.48
Bi  0.6268  0.3768  0.2500  4 Pm 3.22-3.46, 4 Nd 3.23-3.48
Bi  0.7500  0.8732  0.1232  4 Pm 3.22-3.46, 4 Nd 3.23-3.48
Bi  0.8732  0.1232  0.7500  4 Pm 3.22-3.46, 4 Nd 3.23-3.48

***

No. 2
Material: BaBeCl
Method: DFT, PBE
State: relaxed

Computed properties:
formation energy (no corrections)	-0.853	eV per atom
relative energy among the computed polymorphs	0.0316	eV per atom

Lattice parameters (Å, degrees): 6.5154 6.5154 6.5154 141.38 91.51 101.09
With the nearest neighbours (Å) after each atom.
Atoms (fractional coordinates):
Ba  0.0000  0.0000  0.0000  4 Cl 3.19, 2 Be 3.31
Ba  0.5000  0.0000  0.5000  4 Cl 3.19, 2 Be 3.31
Be  0.4589  0.7089  0.7500  2 Be 2.26, 1 Cl 2.32
Be  0.5411  0.2911  0.2500  2 Be 2.26, 1 Cl 2.32
Cl  0.1783  0.4283  0.7500  1 Be 2.32
Cl  0.8217  0.5717  0.2500  1 Be 2.32